(1)
Below is crystalline SrIn2Br at its relaxed geometry, with properties calculated at the PBE-GGA level.

Values from the calculation:
* magnetic moment: 0.00 Bohr magnetons per cell
* uncorrected formation energy: -670 meV per atom
* E above lowest polymorph: 28 meV/atom

abc: 3.884 4.882 6.730
angles: 90.00 90.00 90.00
Fractional positions:
Sr: 0.000 0.000 0.000
In: 0.000 0.500 0.500
In: 0.500 0.000 0.500
Br: 0.500 0.500 0.000

(2)
Below is crystalline CeSmHoAg at its relaxed geometry, with properties calculated at the PBE-GGA level.

Values from the calculation:
* energy of formation: 132.6 meV/atom
* magnetic moment: 11.72 Bohr magnetons per cell

abc: 7.535 7.535 7.535
angles: 90.00 90.00 90.00
Fractional positions:
Ce: 0.000 0.000 0.000
Ce: 0.000 0.500 0.500
Ce: 0.500 0.000 0.500
Ce: 0.500 0.500 0.000
Sm: 0.250 0.250 0.750
Sm: 0.250 0.750 0.250
Sm: 0.750 0.250 0.250
Sm: 0.750 0.750 0.750
Ho: 0.250 0.250 0.250
Ho: 0.250 0.750 0.750
Ho: 0.750 0.250 0.750
Ho: 0.750 0.750 0.250
Ag: 0.000 0.000 0.500
Ag: 0.000 0.500 0.000
Ag: 0.500 0.000 0.000
Ag: 0.500 0.500 0.500

(3)
Below is crystalline HfRePOs at its relaxed geometry, with properties calculated at the PBE-GGA level.

Values from the calculation:
* energy of formation: -273.4 meV/atom
* magnetic moment: 0.00 Bohr magnetons per cell
* E above lowest polymorph: 93 meV/atom

abc: 4.625 2.994 4.675
angles: 90.00 105.24 90.00
Fractional positions:
Hf: 0.000 0.000 0.000
Re: 0.427 0.000 0.597
P: 0.481 0.500 0.012
Os: 0.884 0.500 0.460

(4)
Below is crystalline NaSbPdPb at its relaxed geometry, with properties calculated at the PBE-GGA level.

Values from the calculation:
* magnetic moment: 0.00 Bohr magnetons per cell
* uncorrected formation energy: -221 meV per atom

abc: 7.115 7.115 7.115
angles: 90.00 90.00 90.00
Fractional positions:
Na: 0.000 0.000 0.000
Na: 0.000 0.500 0.500
Na: 0.500 0.000 0.500
Na: 0.500 0.500 0.000
Sb: 0.250 0.250 0.750
Sb: 0.250 0.750 0.250
Sb: 0.750 0.250 0.250
Sb: 0.750 0.750 0.750
Pd: 0.000 0.000 0.500
Pd: 0.000 0.500 0.000
Pd: 0.500 0.000 0.000
Pd: 0.500 0.500 0.500
Pb: 0.250 0.250 0.250
Pb: 0.250 0.750 0.750
Pb: 0.750 0.250 0.750
Pb: 0.750 0.750 0.250

(5)
Below is crystalline Ho2TaAl at its relaxed geometry, with properties calculated at the PBE-GGA level.

Values from the calculation:
* energy of formation: 470.3 meV/atom
* magnetic moment: 0.00 Bohr magnetons per cell

abc: 3.139 3.139 33.331
angles: 90.00 90.00 120.00
Fractional positions:
Ho: 0.000 0.000 0.091
Ho: 0.000 0.000 0.909
Ho: 0.333 0.667 0.576
Ho: 0.333 0.667 0.758
Ho: 0.667 0.333 0.242
Ho: 0.667 0.333 0.424
Ta: 0.000 0.000 0.000
Ta: 0.333 0.667 0.667
Ta: 0.667 0.333 0.333
Al: 0.000 0.000 0.500
Al: 0.333 0.667 0.167
Al: 0.667 0.333 0.833

(6)
Below is crystalline La3Zn2Ni3 at its relaxed geometry, with properties calculated at the PBE-GGA level.

Values from the calculation:
* energy of formation: -343.3 meV/atom
* magnetic moment: 0.00 Bohr magnetons per cell

abc: 7.689 14.305 6.298
angles: 90.00 90.00 90.00
Fractional positions:
La: 0.059 0.107 0.154
La: 0.059 0.393 0.154
La: 0.088 0.750 0.372
La: 0.412 0.250 0.872
La: 0.441 0.607 0.654
La: 0.441 0.893 0.654
La: 0.559 0.107 0.346
La: 0.559 0.393 0.346
La: 0.588 0.750 0.128
La: 0.912 0.250 0.628
La: 0.941 0.607 0.846
La: 0.941 0.893 0.846
Zn: 0.201 0.089 0.633
Zn: 0.201 0.411 0.633
Zn: 0.299 0.589 0.133
Zn: 0.299 0.911 0.133
Zn: 0.701 0.089 0.867
Zn: 0.701 0.411 0.867
Zn: 0.799 0.589 0.367
Zn: 0.799 0.911 0.367
Ni: 0.112 0.551 0.426
Ni: 0.112 0.949 0.426
Ni: 0.238 0.750 0.921
Ni: 0.262 0.250 0.421
Ni: 0.388 0.051 0.926
Ni: 0.388 0.449 0.926
Ni: 0.612 0.551 0.074
Ni: 0.612 0.949 0.074
Ni: 0.738 0.750 0.579
Ni: 0.762 0.250 0.079
Ni: 0.888 0.051 0.574
Ni: 0.888 0.449 0.574

(7)
Below is crystalline LiTiCoH2 at its relaxed geometry, with properties calculated at the PBE-GGA level.

Values from the calculation:
* calculated total energy: -21.085 eV/cell
* magnetic moment: 0.00 Bohr magnetons per cell

abc: 3.342 3.342 4.427
angles: 90.00 90.00 90.00
Fractional positions:
Li: 0.000 0.000 0.000
Ti: 0.500 0.500 0.500
Co: 0.000 0.000 0.500
H: 0.000 0.500 0.000
H: 0.500 0.000 0.000

(8)
Below is crystalline ZnCdCo2 at its relaxed geometry, with properties calculated at the PBE-GGA level.

Values from the calculation:
* energy of formation: 257.9 meV/atom
* magnetic moment: 5.42 Bohr magnetons per cell

abc: 3.887 3.887 7.349
angles: 90.00 90.00 90.00
Fractional positions:
Zn: 0.000 0.000 0.000
Zn: 0.500 0.500 0.500
Cd: 0.000 0.500 0.750
Cd: 0.500 0.000 0.250
Co: 0.000 0.000 0.500
Co: 0.000 0.500 0.250
Co: 0.500 0.000 0.750
Co: 0.500 0.500 0.000